Model P:
# Rb2MgPdCl6, optimized geometry, DFT PBE-GGA
# D(E_F) (states/eV per atom): 0.22
# Crystal system: trigonal
# Mass density (kg/m³): 3140
data_Rb2MgPdCl6
_chemical_formula_sum 'Rb12 Mg6 Pd6 Cl36'
_cell_length_a 7.2060
_cell_length_b 7.2060
_cell_length_c 36.2892
_cell_angle_alpha 90.00
_cell_angle_beta 90.00
_cell_angle_gamma 120.00
_space_group_name_H-M_alt 'R -3 m'
_space_group_IT_number 166
_space_group_name_Hall '-R 3 2"'
loop_
_atom_site_label
_atom_site_type_symbol
_atom_site_fract_x
_atom_site_fract_y
_atom_site_fract_z
Rb1 Rb 0.0000 0.0000 0.1231
Rb2 Rb 0.0000 0.0000 0.2945
Mg1 Mg 0.0000 0.0000 0.4139
Pd1 Pd 0.0000 0.0000 0.0000
Pd2 Pd 0.0000 0.0000 0.5000
Cl1 Cl 0.0002 0.5001 0.2923
Cl2 Cl 0.0149 0.5074 0.1232

=====

Model Q:
# Rb2MgPdCl6, optimized geometry, DFT PBE-GGA
# D(E_F) (states/eV per atom): 0.25
# Crystal system: tetragonal
# Mass density (kg/m³): 3258
data_Rb2MgPdCl6
_chemical_formula_sum 'Rb4 Mg2 Pd2 Cl12'
_cell_length_a 7.185
_cell_length_b 7.185
_cell_length_c 10.154
_cell_angle_alpha 90.00
_cell_angle_beta 90.00
_cell_angle_gamma 90.00
_space_group_name_H-M_alt 'I 4/m m m'
_space_group_IT_number 139
_space_group_name_Hall '-I 4 2'
loop_
_atom_site_label
_atom_site_type_symbol
_atom_site_fract_x
_atom_site_fract_y
_atom_site_fract_z
Rb1 Rb 0.000 0.500 0.250
Mg1 Mg 0.000 0.000 0.000
Pd1 Pd 0.000 0.000 0.500
Cl1 Cl 0.000 0.000 0.249
Cl2 Cl 0.249 0.249 0.000

=====

Energy ordering: model P at the bottom, the next structure 28 meV/atom above.

=====

Model P:
# MgPt2Cl, optimized geometry, DFT PBE-GGA
# D(E_F) (states/eV per atom): 0.31
# Crystal system: orthorhombic
# Mass density (kg/m³): 10646
data_MgPt2Cl
_chemical_formula_sum 'Mg2 Pt4 Cl2'
_cell_length_a 2.897
_cell_length_b 4.432
_cell_length_c 10.930
_cell_angle_alpha 90.00
_cell_angle_beta 90.00
_cell_angle_gamma 90.00
_space_group_name_H-M_alt 'I m m m'
_space_group_IT_number 71
_space_group_name_Hall '-I 2 2'
loop_
_atom_site_label
_atom_site_type_symbol
_atom_site_fract_x
_atom_site_fract_y
_atom_site_fract_z
Mg1 Mg 0.000 0.000 0.000
Pt1 Pt 0.000 0.500 0.271
Cl1 Cl 0.000 0.000 0.500

=====

Model Q:
# MgPt2Cl, optimized geometry, DFT PBE-GGA
# D(E_F) (states/eV per atom): 0.61
# Crystal system: tetragonal
# Mass density (kg/m³): 10019
data_MgPt2Cl
_chemical_formula_sum 'Mg4 Pt8 Cl4'
_cell_length_a 3.717
_cell_length_b 3.717
_cell_length_c 21.589
_cell_angle_alpha 90.00
_cell_angle_beta 90.00
_cell_angle_gamma 90.00
_space_group_name_H-M_alt 'I -4 2 d'
_space_group_IT_number 122
_space_group_name_Hall 'I -4 2bw'
loop_
_atom_site_label
_atom_site_type_symbol
_atom_site_fract_x
_atom_site_fract_y
_atom_site_fract_z
Mg1 Mg 0.000 0.000 0.000
Pt1 Pt 0.243 0.250 0.125
Cl1 Cl 0.000 0.000 0.500

=====

Energy ordering: model P at the bottom, the next structure 160 meV/atom above.

=====

Model P:
# MgPtCl, optimized geometry, DFT PBE-GGA
# D(E_F) (states/eV per atom): 0.29
# Crystal system: trigonal
# Mass density (kg/m³): 7211
data_MgPtCl
_chemical_formula_sum 'Mg1 Pt1 Cl1'
_cell_length_a 3.1548
_cell_length_b 3.1548
_cell_length_c 6.8083
_cell_angle_alpha 90.00
_cell_angle_beta 90.00
_cell_angle_gamma 120.00
_space_group_name_H-M_alt 'P 3 m 1'
_space_group_IT_number 156
_space_group_name_Hall 'P 3 -2"'
loop_
_atom_site_label
_atom_site_type_symbol
_atom_site_fract_x
_atom_site_fract_y
_atom_site_fract_z
Mg1 Mg 0.0000 0.0000 0.0000
Pt1 Pt 0.6667 0.3333 0.2863
Cl1 Cl 0.3333 0.6667 0.7652

=====

Model Q:
# MgPtCl, optimized geometry, DFT PBE-GGA
# D(E_F) (states/eV per atom): 0.24
# Crystal system: monoclinic
# Mass density (kg/m³): 5807
data_MgPtCl
_chemical_formula_sum 'Mg4 Pt4 Cl4'
_cell_length_a 5.299
_cell_length_b 5.286
_cell_length_c 10.714
_cell_angle_alpha 90.00
_cell_angle_beta 103.78
_cell_angle_gamma 90.00
_space_group_name_H-M_alt 'C 1 2 1'
_space_group_IT_number 5
_space_group_name_Hall 'C 2y'
loop_
_atom_site_label
_atom_site_type_symbol
_atom_site_fract_x
_atom_site_fract_y
_atom_site_fract_z
Mg1 Mg 0.156 0.000 0.302
Pt1 Pt 0.000 0.250 0.500
Pt2 Pt 0.000 0.751 0.500
Cl1 Cl 0.164 0.249 0.842

=====

Energy ordering: model Q at the bottom, the next structure 275 meV/atom above.